Entry 1:
# KZn2As2

A geometry-optimized KZn2As2 structure (PBE, Alexandria via LeMat-Bulk).

Structure (POSCAR):
```
KZn2As2
1.0
8.116 0.000 0.000
0.000 8.116 0.000
0.000 0.000 3.125
K Zn As
2 4 4
Direct
0.000 0.000 0.000
0.500 0.500 0.000
0.123 0.377 0.000
0.377 0.877 0.000
0.623 0.123 0.000
0.877 0.623 0.000
0.165 0.665 0.500
0.335 0.165 0.500
0.665 0.835 0.500
0.835 0.335 0.500
```

Computed properties:
Size of the total moment: 0.0 μB/f.u.
DFT formation energy: -0.0274 eV/atom

Entry 2:
# K3ZnAs

A geometry-optimized K3ZnAs structure (PBE, Alexandria via LeMat-Bulk).

Structure (POSCAR):
```
K3ZnAs
1.0
6.444 0.000 0.000
0.000 6.444 0.000
0.000 0.000 6.444
K Zn As
3 1 1
Direct
0.000 0.000 0.500
0.000 0.500 0.000
0.500 0.000 0.000
0.500 0.500 0.500
0.000 0.000 0.000
```

Computed properties:
Size of the total moment: 0.0 μB/f.u.
DFT formation energy: -0.0271 eV/atom
Distance to the lowest polymorph of the same formula: 0 meV per atom

Entry 3:
# KZnAs2

A geometry-optimized KZnAs2 structure (PBE, Alexandria via LeMat-Bulk).

Structure (POSCAR):
```
KZnAs2
1.0
7.183 0.000 0.000
0.000 7.183 0.000
0.000 0.000 7.183
K Zn As
4 4 8
Direct
0.000 0.000 0.000
0.000 0.500 0.500
0.500 0.000 0.500
0.500 0.500 0.000
0.250 0.250 0.250
0.250 0.750 0.750
0.750 0.250 0.750
0.750 0.750 0.250
0.000 0.000 0.500
0.000 0.500 0.000
0.250 0.250 0.750
0.250 0.750 0.250
0.500 0.000 0.000
0.500 0.500 0.500
0.750 0.250 0.250
0.750 0.750 0.750
```

Computed properties:
Size of the total moment: 0.0 μB/f.u.
DFT formation energy: 0.2643 eV/atom

Entry 4:
# KZnAs

A geometry-optimized KZnAs structure (PBE, Alexandria via LeMat-Bulk).

Structure (POSCAR):
```
KZnAs
1.0
0.000 6.648 5.712
4.664 0.000 5.712
4.664 6.648 0.000
K Zn As
4 4 4
Direct
0.314 0.686 0.401
0.651 0.849 0.564
0.686 0.314 0.599
0.849 0.651 0.936
0.002 0.120 0.805
0.120 0.002 0.073
0.177 0.445 0.130
0.445 0.177 0.248
0.069 0.402 0.513
0.234 0.737 0.848
0.402 0.069 0.016
0.737 0.234 0.181
```

Computed properties:
Size of the total moment: 0.0 μB/f.u.
DFT formation energy: -0.3066 eV/atom

Entry 5:
# KZn2As

A geometry-optimized KZn2As structure (PBE, Alexandria via LeMat-Bulk).

Structure (POSCAR):
```
KZn2As
1.0
3.183 0.000 0.000
0.000 4.107 0.000
-1.577 0.000 7.128
K Zn As
1 2 1
Direct
0.000 0.000 0.000
0.251 0.000 0.489
0.689 0.500 0.367
0.351 0.500 0.696
```

Computed properties:
Size of the total moment: 0.0 μB/f.u.
DFT formation energy: -0.0617 eV/atom

Entry 6:
# KZn2As

A geometry-optimized KZn2As structure (PBE, Alexandria via LeMat-Bulk).

Structure (POSCAR):
```
KZn2As
1.0
4.166 0.000 0.000
0.000 6.436 0.000
0.000 0.000 8.313
K Zn As
2 4 2
Direct
0.000 0.000 0.000
0.500 0.500 0.500
0.000 0.000 0.529
0.000 0.500 0.829
0.500 0.000 0.329
0.500 0.500 0.029
0.000 0.500 0.178
0.500 0.000 0.678
```

Computed properties:
Size of the total moment: 0.0 μB/f.u.
DFT formation energy: 0.0499 eV/atom

Entry 7:
# KZnAs2

A geometry-optimized KZnAs2 structure (PBE, Alexandria via LeMat-Bulk).

Structure (POSCAR):
```
KZnAs2
1.0
4.026 0.000 0.000
0.000 4.978 0.000
0.000 0.000 8.881
K Zn As
2 2 4
Direct
0.000 0.000 0.000
0.500 0.500 0.000
0.000 0.000 0.500
0.500 0.500 0.500
0.000 0.500 0.298
0.000 0.500 0.702
0.500 0.000 0.298
0.500 0.000 0.702
```

Computed properties:
Size of the total moment: 0.0 μB/f.u.
DFT formation energy: 0.0661 eV/atom

Entry 8:
# KZnAs2

A geometry-optimized KZnAs2 structure (PBE, Alexandria via LeMat-Bulk).

Structure (POSCAR):
```
KZnAs2
1.0
4.608 0.000 0.000
-2.304 3.991 0.000
0.000 0.000 18.143
K Zn As
3 3 6
Direct
0.000 0.000 0.000
0.333 0.667 0.667
0.667 0.333 0.333
0.000 0.000 0.808
0.333 0.667 0.475
0.667 0.333 0.142
0.000 0.000 0.194
0.000 0.000 0.477
0.333 0.667 0.144
0.333 0.667 0.861
0.667 0.333 0.528
0.667 0.333 0.810
```

Computed properties:
Size of the total moment: 0.0 μB/f.u.
DFT formation energy: -0.0460 eV/atom

Entry 9:
# KZn2As

A geometry-optimized KZn2As structure (PBE, Alexandria via LeMat-Bulk).

Structure (POSCAR):
```
KZn2As
1.0
8.312 0.000 0.000
0.000 8.312 0.000
0.000 0.000 6.579
K Zn As
4 8 4
Direct
0.000 0.000 0.000
0.000 0.500 0.250
0.500 0.000 0.750
0.500 0.500 0.500
0.145 0.250 0.625
0.250 0.645 0.875
0.250 0.855 0.375
0.355 0.250 0.125
0.645 0.750 0.125
0.750 0.145 0.375
0.750 0.355 0.875
0.855 0.750 0.625
0.000 0.000 0.500
0.000 0.500 0.750
0.500 0.000 0.250
0.500 0.500 0.000
```

Computed properties:
Size of the total moment: 0.0 μB/f.u.
DFT formation energy: 0.0317 eV/atom

Entry 10:
# K5Zn4As4

A geometry-optimized K5Zn4As4 structure (PBE, Alexandria via LeMat-Bulk).

Structure (POSCAR):
```
K5Zn4As4
1.0
-6.493 6.493 2.147
6.493 -6.493 2.147
6.493 6.493 -2.147
K Zn As
5 4 4
Direct
0.000 0.000 0.000
0.297 0.636 0.933
0.364 0.297 0.661
0.636 0.703 0.339
0.703 0.364 0.067
0.108 0.417 0.525
0.417 0.892 0.309
0.583 0.108 0.691
0.892 0.583 0.475
0.044 0.705 0.749
0.295 0.044 0.339
0.705 0.956 0.661
0.956 0.295 0.251
```

Computed properties:
Size of the total moment: 0.5 μB/f.u.
DFT formation energy: -0.3549 eV/atom

Entry 11:
# KZn2As

A geometry-optimized KZn2As structure (PBE, Alexandria via LeMat-Bulk).

Structure (POSCAR):
```
KZn2As
1.0
6.308 0.000 0.000
0.000 11.228 0.000
-1.201 0.000 2.511
K Zn As
2 4 2
Direct
0.000 0.000 0.000
0.500 0.500 0.000
0.250 0.250 0.000
0.250 0.750 0.000
0.750 0.250 0.000
0.750 0.750 0.000
0.000 0.500 0.000
0.500 0.000 0.000
```

Computed properties:
Size of the total moment: 0.0 μB/f.u.
DFT formation energy: 0.2082 eV/atom

Entry 12:
# KZnAs2

A geometry-optimized KZnAs2 structure (PBE, Alexandria via LeMat-Bulk).

Structure (POSCAR):
```
KZnAs2
1.0
5.299 0.000 0.000
0.000 5.299 0.000
0.000 0.000 16.550
K Zn As
4 4 8
Direct
0.000 0.000 0.000
0.000 0.500 0.250
0.500 0.000 0.750
0.500 0.500 0.500
0.000 0.000 0.500
0.000 0.500 0.750
0.500 0.000 0.250
0.500 0.500 0.000
0.084 0.250 0.625
0.250 0.584 0.875
0.250 0.916 0.375
0.416 0.250 0.125
0.584 0.750 0.125
0.750 0.084 0.375
0.750 0.416 0.875
0.916 0.750 0.625
```

Computed properties:
Size of the total moment: 0.0 μB/f.u.
DFT formation energy: -0.1165 eV/atom

Entry 13:
# KZnAs2

A geometry-optimized KZnAs2 structure (PBE, Alexandria via LeMat-Bulk).

Structure (POSCAR):
```
KZnAs2
1.0
3.390 0.000 0.000
-1.695 2.936 0.000
0.000 0.000 27.281
K Zn As
3 3 6
Direct
0.000 0.000 0.000
0.333 0.667 0.667
0.667 0.333 0.333
0.000 0.000 0.500
0.333 0.667 0.167
0.667 0.333 0.833
0.000 0.000 0.234
0.000 0.000 0.766
0.333 0.667 0.433
0.333 0.667 0.901
0.667 0.333 0.099
0.667 0.333 0.567
```

Computed properties:
Size of the total moment: 0.0 μB/f.u.
DFT formation energy: 0.0678 eV/atom

Entry 14:
# KZnAs

A geometry-optimized KZnAs structure (PBE, Alexandria via LeMat-Bulk).

Structure (POSCAR):
```
KZnAs
1.0
12.259 0.000 0.000
0.000 4.254 0.000
-4.172 0.000 7.277
K Zn As
4 4 4
Direct
0.066 0.000 0.304
0.434 0.500 0.696
0.566 0.500 0.304
0.934 0.000 0.696
0.233 0.500 0.901
0.267 0.000 0.099
0.733 0.000 0.901
0.767 0.500 0.099
0.245 0.000 0.767
0.255 0.500 0.233
0.745 0.500 0.767
0.755 0.000 0.233
```

Computed properties:
Size of the total moment: 0.0 μB/f.u.
DFT formation energy: -0.3734 eV/atom